[1]
## LiHgBiSe3 (GGA-PBE)

Data for crystalline LiHgBiSe3 at its relaxed geometry.

Results
- Energy: -3.239 eV per atom
- Volume: 29.98 Å³/atom
- Space group: Cmcm, No. 63
- Density: 6.03 g cm⁻³

a = 7.731 Å, b = 7.731 Å, c = 11.194 Å
α = 90.00°, β = 90.00°, γ = 147.48°
Fractional positions:
Se  0.940  0.060  0.250
Se  0.638  0.362  0.472
Li  0.360  0.640  0.250
Li  0.640  0.360  0.750
Bi  0.000  0.000  0.000
Se  0.362  0.638  0.972
Hg  0.377  0.623  0.750
Se  0.060  0.940  0.750
Se  0.638  0.362  0.028
Bi  0.000  0.000  0.500
Hg  0.623  0.377  0.250
Se  0.362  0.638  0.528

=====

[2]
## LiHgBiTe3 (GGA-PBE)

Data for crystalline LiHgBiTe3 at its relaxed geometry.

Results
- Energy: -2.904 eV per atom
- Volume: 31.16 Å³/atom
- Space group: Cmcm, No. 63
- Density: 7.10 g cm⁻³

a = 7.402 Å, b = 7.402 Å, c = 11.901 Å
α = 90.00°, β = 90.00°, γ = 145.02°
Fractional positions:
Te  0.097  0.903  0.750
Hg  0.546  0.454  0.250
Hg  0.454  0.546  0.750
Te  0.903  0.097  0.250
Te  0.346  0.654  0.552
Bi  0.000  0.000  0.000
Bi  0.000  0.000  0.500
Li  0.257  0.743  0.250
Te  0.654  0.346  0.052
Li  0.743  0.257  0.750
Te  0.654  0.346  0.448
Te  0.346  0.654  0.948

=====

[3]
## MgHgBi (GGA-PBE)

Data for crystalline MgHgBi at its relaxed geometry.

Results
- Energy: -2.032 eV per atom
- Volume: 27.80 Å³/atom
- Space group: F-43m, No. 216
- Density: 8.64 g cm⁻³

a = 4.904 Å, b = 4.904 Å, c = 4.904 Å
α = 60.00°, β = 60.00°, γ = 60.00°
Fractional positions:
Bi  0.250  0.250  0.250
Hg  0.750  0.750  0.750
Mg  0.000  0.000  0.000